Compound: ScU2NbC4
Source: the Alexandria database
Functional: PBE
Structure: relaxed

Crystal system: monoclinic
Symmetry: No. 10
Raw total energy: -9.86 eV/atom
Energy of formation: -380 meV per atom

```
8
Lattice="3.336 0.000 0.000 0.000 5.791 0.095 0.000 -2.030 5.545" Properties=species:S:1:pos:R:3 pbc="T T T"
Sc 1.668 2.895 0.048
U 1.668 -1.015 2.772
U 0.000 1.880 2.820
Nb 0.000 0.000 0.000
C 1.668 0.907 1.334
C 1.668 2.854 4.307
C 0.000 -0.136 4.212
C 0.000 3.896 1.428
```